MgNi2Cl (meta-GGA SCAN, single point on PBEsol structure); SG = P2/m (10); formation energy without anion corrections = -0.0023 eV/atom
1.0
-2.047 -1.886 -1.180
2.718 -2.500 -0.720
-0.689 -2.011 4.382
Ni Cl Mg
2 1 1
Direct
0.499 0.000 0.245 Ni
0.501 0.000 0.755 Ni
0.500 0.500 0.500 Cl
0.000 0.500 0.000 Mg

=====

IrPt3 (meta-GGA SCAN, single point on PBEsol structure); E_form = 0.13 eV per atom; SG = Pnma (62)
1.0
-0.614 -4.020 2.475
1.138 -2.942 -4.496
8.771 0.018 2.207
Pt Ir
12 4
Direct
0.247 0.376 0.002 Pt
0.424 0.624 0.250 Pt
0.753 0.624 0.998 Pt
0.076 0.124 0.750 Pt
0.253 0.876 0.502 Pt
0.747 0.124 0.002 Pt
0.247 0.376 0.498 Pt
0.753 0.624 0.502 Pt
0.924 0.876 0.250 Pt
0.576 0.376 0.750 Pt
0.747 0.124 0.498 Pt
0.253 0.876 0.998 Pt
0.578 0.868 0.750 Ir
0.922 0.368 0.250 Ir
0.422 0.132 0.250 Ir
0.078 0.632 0.750 Ir

=====

no.,total DFT energy (no corrections) (eV/atom)
1,-11.33
2,-70.29